(1)
The following is a PBE-GGA calculation of crystalline Tb15Pr2Sm2 at its relaxed geometry, from the Alexandria database.

For the formation energy, the calculation gives 272.1 meV/atom. As for the volume: 34.08 A^3/atom. The calculated density comes out at 7.6 g cm⁻³. The value obtained for the total magnetization is 0.004 Bohr magnetons per cell.

a = 11.2689 Å, b = 11.2689 Å, c = 17.6653 Å
α = 90.00°, β = 90.00°, γ = 120.00°
Closest atoms and distances in Å follow each position.
Space group R-3m (No. 166, hexagonal axes)
One atom of each set of equivalent atoms:
Tb (0.0000, 0.2986, 0.0000)  6 Tb 3.32-3.41
Tb (0.0000, 0.5000, 0.5000)  8 Tb 3.36-3.41, 2 Sm 3.50
Tb (0.0137, 0.5068, 0.1366)  6 Tb 3.30-3.36
Pr (0.0000, 0.0000, 0.3275)  15 Tb 3.97-4.32, 1 Sm 4.13
Sm (0.0000, 0.0000, 0.0936)  1 Sm 3.31, 3 Tb 3.50

(2)
The following is a PBE-GGA calculation of crystalline Zr2TiS2 at its relaxed geometry, from the Alexandria database.

As for the volume: 16.83 A^3/atom. The calculated density comes out at 5.8 g cm⁻³. The uncorrected formation energy is -1112 meV/atom. The value obtained for the total magnetization is 0.000 Bohr magnetons per cell.

a = 6.9425 Å, b = 6.9425 Å, c = 3.4918 Å
α = 90.00°, β = 90.00°, γ = 90.00°
Closest atoms and distances in Å follow each position.
Space group P4/mbm (No. 127)
One atom of each set of equivalent atoms:
Zr (0.1588, 0.3412, 0.0000)  6 S 2.57-2.76
Ti (0.0000, 0.0000, 0.5000)  4 S 2.64
S (0.1498, 0.6498, 0.5000)  6 Zr 2.57-2.76, 2 Ti 2.64

(3)
The following is a PBE-GGA calculation of crystalline NaSr2InH at its relaxed geometry, from the Alexandria database.

As for the volume: 27.77 A^3/atom. The calculated density comes out at 3.8 g cm⁻³. As for the total energy: -12.32 eV per cell. The value obtained for the total magnetization is 0.000 Bohr magnetons per cell.

a = 5.5583 Å, b = 5.5583 Å, c = 4.4941 Å
α = 90.00°, β = 90.00°, γ = 90.00°
Closest atoms and distances in Å follow each position.
Space group P4/mmm (No. 123)
One atom of each set of equivalent atoms:
Na (0.0000, 0.0000, 0.0000)  2 H 2.25
Sr (0.0000, 0.5000, 0.5000)  2 H 2.78
In (0.5000, 0.5000, 0.0000)  8 Sr 3.57, 4 Na 3.93
H (0.0000, 0.0000, 0.5000)  2 Na 2.25

(4)
The following is a PBE-GGA calculation of crystalline ScInIr at its relaxed geometry, from the Alexandria database.

For the formation energy, the calculation gives 7.9 meV/atom. As for the volume: 21.86 A^3/atom. The calculated density comes out at 8.9 g cm⁻³. The value obtained for the total magnetization is 0.000 Bohr magnetons per cell.

a = 6.4019 Å, b = 6.4019 Å, c = 6.4019 Å
α = 90.00°, β = 90.00°, γ = 90.00°
Closest atoms and distances in Å follow each position.
Space group F-43m (No. 216)
One atom of each set of equivalent atoms:
Sc (0.0000, 0.0000, 0.0000)  4 In 2.77, 4 Ir 2.77
In (0.2500, 0.2500, 0.2500)  4 Sc 2.77
Ir (0.2500, 0.2500, 0.7500)  4 Sc 2.77

(5)
The following is a PBE-GGA calculation of crystalline CaTc2As at its relaxed geometry, from the Alexandria database.

For the formation energy, the calculation gives -20.5 meV/atom. As for the volume: 18.00 A^3/atom. The calculated density comes out at 7.2 g cm⁻³. The value obtained for the total magnetization is 0.000 Bohr magnetons per cell.

a = 3.0369 Å, b = 3.0369 Å, c = 7.8058 Å
α = 90.00°, β = 90.00°, γ = 90.00°
Closest atoms and distances in Å follow each position.
Space group P4mm (No. 99)
One atom of each set of equivalent atoms:
Ca (0.0000, 0.0000, 0.0000)  4 Ca 3.04, 4 Tc 3.13, 4 As 3.23
Tc (0.0000, 0.0000, 0.4900)  4 Tc 2.65, 4 As 2.66
Tc (0.5000, 0.5000, 0.2911)  4 Tc 2.65
As (0.5000, 0.5000, 0.6910)  4 Tc 2.66

(6)
The following is a PBE-GGA calculation of crystalline EuPuGaIr at its relaxed geometry, from the Alexandria database.

For the formation energy, the calculation gives -305.3 meV/atom. As for the volume: 22.21 A^3/atom. The calculated density comes out at 12.3 g cm⁻³. The value obtained for the total magnetization is 6.352 Bohr magnetons per cell.

a = 7.0827 Å, b = 7.0827 Å, c = 7.0827 Å
α = 90.00°, β = 90.00°, γ = 90.00°
Closest atoms and distances in Å follow each position.
Space group F-43m (No. 216)
One atom of each set of equivalent atoms:
Eu (0.0000, 0.0000, 0.0000)  4 Ir 3.07, 4 Ga 3.07
Pu (0.0000, 0.0000, 0.5000)  4 Ir 3.07, 4 Ga 3.07
Ga (0.2500, 0.2500, 0.7500)  4 Pu 3.07, 4 Eu 3.07
Ir (0.2500, 0.2500, 0.2500)  4 Pu 3.07, 4 Eu 3.07

(7)
The following is a PBE-GGA calculation of crystalline Ac2PuBi at its relaxed geometry, from the Alexandria database.

For the formation energy, the calculation gives -240.3 meV/atom. As for the volume: 35.14 A^3/atom. The calculated density comes out at 10.7 g cm⁻³. The value obtained for the total magnetization is 7.041 Bohr magnetons per cell.

a = 5.4093 Å, b = 5.4093 Å, c = 4.8039 Å
α = 90.00°, β = 90.00°, γ = 90.00°
Closest atoms and distances in Å follow each position.
Space group P4/mmm (No. 123)
One atom of each set of equivalent atoms:
Ac (0.0000, 0.5000, 0.0000)  4 Bi 3.62, 4 Pu 3.62, 4 Ac 3.82
Pu (0.0000, 0.0000, 0.5000)  8 Ac 3.62, 4 Bi 3.82
Bi (0.5000, 0.5000, 0.5000)  8 Ac 3.62, 4 Pu 3.82

(8)
The following is a PBE-GGA calculation of crystalline Y2TmHfAs4 at its relaxed geometry, from the Alexandria database.

For the formation energy, the calculation gives -1404.7 meV/atom. As for the volume: 23.04 A^3/atom. The calculated density comes out at 7.4 g cm⁻³. The value obtained for the total magnetization is 0.000 Bohr magnetons per cell.

a = 6.9671 Å, b = 4.0190 Å, c = 6.9727 Å
α = 90.00°, β = 109.28°, γ = 90.00°
Closest atoms and distances in Å follow each position.
Space group P2/m (No. 10)
One atom of each set of equivalent atoms:
Y (0.0000, 0.0000, 0.0000)  6 As 2.92
Y (0.5000, 0.5000, 0.0000)  6 As 2.86
Tm (0.0000, 0.5000, 0.5000)  6 As 2.83
Hf (0.5000, 0.0000, 0.5000)  6 As 2.76-2.78
As (0.2540, 0.0000, 0.7403)  1 Hf 2.76, 2 Tm 2.83, 3 Y 2.86-2.92
As (0.2614, 0.5000, 0.2642)  2 Hf 2.78, 1 Tm 2.83, 3 Y 2.86-2.92